Entry 1:
{
  "formula": "BaSrY2Ag",
  "functional": "PBE",
  "state": "optimized geometry",
  "final_energy_ev_per_cell": -18.8,
  "e_form_ev_per_atom": 0.1263,
  "vol_a3_per_cell": 205.96,
  "lattice_angstrom": [[5.7905, 0.0000, 0.0000], [0.0000, 6.1428, 0.0000], [0.0000, 0.0000, 5.7905]],
  "species": ["Ag", "Y", "Y", "Ba", "Sr"],
  "fractional_positions": [[0.0000, 0.0000, 0.0000], [0.5000, 0.0000, 0.0000], [0.0000, 0.0000, 0.5000], [0.5000, 0.5000, 0.5000], [0.0000, 0.5000, 0.0000]]
}

Entry 2:
{
  "formula": "BaSr2YAg",
  "functional": "PBE",
  "state": "optimized geometry",
  "final_energy_ev_per_cell": -14.4,
  "e_form_ev_per_atom": 0.0375,
  "vol_a3_per_cell": 228.05,
  "lattice_angstrom": [[-2.2380, 5.8746, -0.0507], [-2.1917, -0.7846, 5.8398], [5.0028, 1.9243, 2.1361]],
  "species": ["Ag", "Ba", "Sr", "Sr", "Y"],
  "fractional_positions": [[0.0000, 0.0000, 0.0000], [0.5000, 0.5000, 0.5000], [0.5000, 0.0000, 0.0000], [0.0000, 0.5000, 0.0000], [0.0000, 0.0000, 0.5000]]
}

Entry 3:
{
  "formula": "Ba3Sr3ZnAg2",
  "functional": "PBE",
  "state": "optimized geometry",
  "final_energy_ev_per_cell": -18.7,
  "e_form_ev_per_atom": -0.1001,
  "vol_a3_per_cell": 364.82,
  "lattice_angstrom": [[-1.9473, -4.6457, -1.1223], [5.2140, -3.7243, 6.3695], [-8.2740, 2.9616, 2.0970]],
  "species": ["Ba", "Ba", "Ba", "Sr", "Sr", "Sr", "Ag", "Ag", "Zn"],
  "fractional_positions": [[0.5000, 0.0000, 0.7464], [0.5000, 0.7464, 0.0000], [0.5000, 0.2536, 0.2536], [0.0000, 0.4123, 0.0000], [0.0000, 0.5877, 0.5877], [0.0000, 0.0000, 0.4123], [0.5000, 0.3333, 0.6667], [0.5000, 0.6667, 0.3333], [0.0000, 0.0000, 0.0000]]
}

Entry 4:
{
  "formula": "Ba3Sr2Zn4Ag2",
  "functional": "PBE",
  "state": "optimized geometry",
  "final_energy_ev_per_cell": -21.5,
  "e_form_ev_per_atom": -0.1393,
  "vol_a3_per_cell": 396.29,
  "lattice_angstrom": [[-4.0774, -0.9092, 2.1961], [0.1682, 0.1054, -4.7154], [4.3191, -20.0823, -0.2949]],
  "species": ["Zn", "Zn", "Zn", "Zn", "Ba", "Ba", "Ba", "Sr", "Sr", "Ag", "Ag"],
  "fractional_positions": [[0.6667, 0.3333, 0.6709], [0.3333, 0.6667, 0.3291], [0.3333, 0.6667, 0.8864], [0.6667, 0.3333, 0.1136], [0.0000, 0.0000, 0.7761], [0.0000, 0.0000, 0.0000], [0.0000, 0.0000, 0.2239], [0.3333, 0.6667, 0.5835], [0.6667, 0.3333, 0.4165], [0.3333, 0.6667, 0.1130], [0.6667, 0.3333, 0.8870]]
}

Entry 5:
{
  "formula": "Ba3Sr3Zn2Ag",
  "functional": "PBE",
  "state": "optimized geometry",
  "final_energy_ev_per_cell": -17.2,
  "e_form_ev_per_atom": -0.1086,
  "vol_a3_per_cell": 369.21,
  "lattice_angstrom": [[5.0491, 0.0000, 0.0000], [0.0000, 9.1890, 0.0000], [0.0000, -4.5945, 7.9579]],
  "species": ["Sr", "Sr", "Sr", "Ba", "Ba", "Ba", "Zn", "Zn", "Ag"],
  "fractional_positions": [[0.5000, 0.2528, 0.2528], [0.5000, 0.7472, 0.0000], [0.5000, 0.0000, 0.7472], [0.0000, 0.5930, 0.5930], [0.0000, 0.4070, 0.0000], [0.0000, 0.0000, 0.4070], [0.5000, 0.6667, 0.3333], [0.5000, 0.3333, 0.6667], [0.0000, 0.0000, 0.0000]]
}

Entry 6:
{
  "formula": "BaSrZnAg",
  "functional": "PBE",
  "state": "optimized geometry",
  "final_energy_ev_per_cell": -8.7,
  "e_form_ev_per_atom": -0.2346,
  "vol_a3_per_cell": 138.62,
  "lattice_angstrom": [[4.6235, 0.0000, 0.0000], [0.0000, 4.7786, 0.0000], [-2.3117, 0.0000, 6.2744]],
  "species": ["Sr", "Ag", "Ba", "Zn"],
  "fractional_positions": [[0.1375, 0.0000, 0.2750], [0.5633, 0.5000, 0.1267], [0.8556, 0.5000, 0.7113], [0.4435, 0.0000, 0.8870]]
}

Entry 7:
{
  "formula": "BaSrZn2Ag2",
  "functional": "PBE",
  "state": "optimized geometry",
  "final_energy_ev_per_cell": -13.4,
  "e_form_ev_per_atom": -0.2629,
  "vol_a3_per_cell": 167.79,
  "lattice_angstrom": [[-0.4069, 2.6820, -3.8983], [-3.8549, -1.0692, 2.5597], [1.1860, 7.0664, 4.7378]],
  "species": ["Sr", "Ag", "Ag", "Ba", "Zn", "Zn"],
  "fractional_positions": [[0.0000, 0.0000, 0.5000], [0.3333, 0.6667, 0.7303], [0.6667, 0.3333, 0.2697], [0.0000, 0.0000, 0.0000], [0.6667, 0.3333, 0.7314], [0.3333, 0.6667, 0.2686]]
}

Entry 8:
{
  "formula": "BaTa2Ag",
  "functional": "PBE",
  "state": "optimized geometry",
  "final_energy_ev_per_cell": -23.9,
  "e_above_lowest_polymorph_mev_per_atom": 646,
  "e_form_ev_per_atom": 1.1448,
  "vol_a3_per_cell": 92.64,
  "lattice_angstrom": [[2.9038, 0.0000, 0.0000], [0.0000, 5.3671, 0.0000], [0.0000, 0.0000, 5.9445]],
  "species": ["Ag", "Ta", "Ta", "Ba"],
  "fractional_positions": [[0.5000, 0.5000, 0.2500], [0.0000, 0.0000, 0.0084], [0.0000, 0.0000, 0.4916], [0.5000, 0.5000, 0.7500]]
}

Entry 9:
{
  "formula": "BaTa2Ag",
  "functional": "PBE",
  "state": "optimized geometry",
  "final_energy_ev_per_cell": -24.6,
  "e_above_lowest_polymorph_mev_per_atom": 477,
  "e_form_ev_per_atom": 0.9756,
  "vol_a3_per_cell": 90.08,
  "lattice_angstrom": [[-3.8456, -10.7931, 0.0718], [-3.1252, -10.6047, 3.0098], [-5.8352, -9.6455, 2.0494]],
  "species": ["Ta", "Ta", "Ba", "Ag"],
  "fractional_positions": [[0.9877, 0.9877, 0.9877], [0.5123, 0.5123, 0.5123], [0.7500, 0.7500, 0.7500], [0.2500, 0.2500, 0.2500]]
}

Entry 10:
{
  "formula": "BaTa2Ag",
  "functional": "PBE",
  "state": "optimized geometry",
  "final_energy_ev_per_cell": -24.5,
  "e_above_lowest_polymorph_mev_per_atom": 496,
  "e_form_ev_per_atom": 0.9948,
  "vol_a3_per_cell": 90.30,
  "lattice_angstrom": [[-1.3267, -2.7599, -3.9978], [2.9108, -3.8277, -1.4952], [-1.5642, -4.7459, 0.6238]],
  "species": ["Ta", "Ta", "Ba", "Ag"],
  "fractional_positions": [[0.0000, 0.0000, 0.0000], [0.2500, 0.2500, 0.2500], [0.7500, 0.7500, 0.7500], [0.5000, 0.5000, 0.5000]]
}

Entry 11:
{
  "formula": "BaTaAg",
  "functional": "PBE",
  "state": "optimized geometry",
  "final_energy_ev_per_cell": -30.3,
  "e_above_lowest_polymorph_mev_per_atom": 157,
  "e_form_ev_per_atom": 0.4873,
  "vol_a3_per_cell": 186.23,
  "lattice_angstrom": [[11.1299, 0.0115, 0.0095], [-0.0028, 3.6234, 0.0145], [0.7224, -1.8285, 4.6112]],
  "species": ["Ta", "Ta", "Ba", "Ba", "Ag", "Ag"],
  "fractional_positions": [[0.2861, 0.9763, 0.2509], [0.2369, 0.7017, 0.6997], [0.0167, 0.4655, 0.2266], [0.6808, 0.7806, 0.8586], [0.4232, 0.2566, 0.8107], [0.4912, 0.5276, 0.3529]]
}

Entry 12:
{
  "formula": "BaTaAg",
  "functional": "PBE",
  "state": "optimized geometry",
  "final_energy_ev_per_cell": -30.7,
  "e_above_lowest_polymorph_mev_per_atom": 96,
  "e_form_ev_per_atom": 0.4261,
  "vol_a3_per_cell": 163.02,
  "lattice_angstrom": [[4.6278, -0.0002, -0.0001], [-0.0006, 10.2627, -0.0117], [-0.0001, -0.5834, 3.4331]],
  "species": ["Ag", "Ag", "Ta", "Ta", "Ba", "Ba"],
  "fractional_positions": [[0.7199, 0.4137, 0.6839], [0.2198, 0.8485, 0.3995], [0.2205, 0.6324, 0.7925], [0.7205, 0.6298, 0.2912], [0.7199, 0.9852, 0.9673], [0.2199, 0.2770, 0.1160]]
}

Entry 13:
{
  "formula": "BaTaAg3",
  "functional": "PBE",
  "state": "optimized geometry",
  "final_energy_ev_per_cell": -19.1,
  "e_above_lowest_polymorph_mev_per_atom": 0,
  "e_form_ev_per_atom": 0.6556,
  "vol_a3_per_cell": 148.67,
  "lattice_angstrom": [[5.2975, 0.0000, 0.0000], [0.0000, 5.2975, 0.0000], [0.0000, 0.0000, 5.2975]],
  "species": ["Ta", "Ag", "Ag", "Ag", "Ba"],
  "fractional_positions": [[0.0000, 0.0000, 0.0000], [0.0000, 0.0000, 0.5000], [0.5000, 0.0000, 0.0000], [0.0000, 0.5000, 0.0000], [0.5000, 0.5000, 0.5000]]
}

Entry 14:
{
  "formula": "BaTaAg",
  "functional": "PBE",
  "state": "optimized geometry",
  "final_energy_ev_per_cell": -24.6,
  "e_above_lowest_polymorph_mev_per_atom": 1118,
  "e_form_ev_per_atom": 1.4477,
  "vol_a3_per_cell": 153.65,
  "lattice_angstrom": [[4.6225, -2.6688, 0.0000], [0.0000, 5.3376, 0.0000], [0.0000, 0.0000, 6.2275]],
  "species": ["Ag", "Ag", "Ba", "Ba", "Ta", "Ta"],
  "fractional_positions": [[0.0000, 0.0000, 0.5000], [0.0000, 0.0000, 0.0000], [0.3333, 0.6667, 0.2500], [0.6667, 0.3333, 0.7500], [0.3333, 0.6667, 0.7500], [0.6667, 0.3333, 0.2500]]
}